Material: Sr2AcLa3Te6
Method: DFT, GGA-PBE
State: optimized geometry

Lattice parameters (Å, degrees): 8.0275 8.0275 8.1128 99.50 99.50 120.00
Fractional positions:
Sr: 0.3331 0.6669 0.0000
Sr: 0.6669 0.3331 0.0000
Ac: 0.0000 0.0000 0.0000
La: 0.1669 0.8331 0.5000
La: 0.8331 0.1669 0.5000
La: 0.5000 0.5000 0.5000
Te: 0.9149 0.5787 0.7450
Te: 0.7491 0.7491 0.2561
Te: 0.0851 0.4213 0.2550
Te: 0.5787 0.9149 0.7450
Te: 0.2509 0.2509 0.7439
Te: 0.4213 0.0851 0.2550

Results
Space group: C2/m
Formation energy from raw total energies: -1850 kJ/mol of formula units
V: 427.3 Å³/f.u.

=====

Material: Sr3Ac2LaTe6
Method: DFT, GGA-PBE
State: optimized geometry

Lattice parameters (Å, degrees): 4.6754 9.4704 10.5716 104.05 102.78 90.00
Fractional positions:
Sr: 0.5000 0.5000 0.0000
Sr: 0.8326 0.1664 0.6652
Sr: 0.1674 0.8336 0.3348
Ac: 0.8349 0.6696 0.6698
Ac: 0.1651 0.3304 0.3302
La: 0.5000 0.0000 0.0000
Te: 0.3349 0.9216 0.6698
Te: 0.6663 0.5852 0.3326
Te: 0.6651 0.0784 0.3302
Te: 0.9982 0.2453 0.9963
Te: 0.0018 0.7547 0.0037
Te: 0.3337 0.4148 0.6674

Results
Space group: C2/m
Formation energy from raw total energies: -1860 kJ/mol of formula units
V: 442.1 Å³/f.u.

=====

Material: SrAc2La3Te6
Method: DFT, GGA-PBE
State: optimized geometry

Lattice parameters (Å, degrees): 4.6345 9.3568 10.4114 103.07 102.86 90.00
Fractional positions:
Sr: 0.5000 0.0000 0.0000
Ac: 0.8313 0.6637 0.6625
Ac: 0.1687 0.3363 0.3375
La: 0.5000 0.5000 0.0000
La: 0.8319 0.1696 0.6638
La: 0.1681 0.8304 0.3362
Te: 0.3336 0.9242 0.6672
Te: 0.6631 0.5876 0.3262
Te: 0.6664 0.0758 0.3328
Te: 0.9983 0.2515 0.9966
Te: 0.0017 0.7485 0.0034
Te: 0.3369 0.4124 0.6738

Results
Space group: C2/m
Formation energy from raw total energies: -1823 kJ/mol of formula units
V: 428.1 Å³/f.u.

=====

Material: Sr2AcLaTl4
Method: DFT, GGA-PBE
State: optimized geometry

Lattice parameters (Å, degrees): 5.7716 5.7716 9.9857 73.20 73.20 60.00
Fractional positions:
Sr: 0.7504 0.7504 0.7487
Sr: 0.2496 0.2496 0.2513
Ac: 0.0000 0.0000 0.0000
La: 0.5000 0.5000 0.5000
Tl: 0.3772 0.3772 0.8683
Tl: 0.8737 0.8737 0.3790
Tl: 0.1263 0.1263 0.6210
Tl: 0.6228 0.6228 0.1317

Results
Space group: R-3m
Formation energy from the elements: -394 meV per atom
V: 271.6 Å³/f.u.

=====

Material: SrAcLaY
Method: DFT, GGA-PBE
State: optimized geometry

Lattice parameters (Å, degrees): 6.1432 6.1432 6.1432 60.00 60.00 60.00
Fractional positions:
Y: 0.7500 0.7500 0.7500
Sr: 0.0000 0.0000 0.0000
Ac: 0.5000 0.5000 0.5000
La: 0.2500 0.2500 0.2500

Results
Space group: F-43m
Formation energy from the elements: 199 meV per atom
V: 163.9 Å³/f.u.

=====

Material: SrAcLaZn
Method: DFT, GGA-PBE
State: optimized geometry

Lattice parameters (Å, degrees): 3.8718 3.8718 9.7456 90.00 90.00 90.00
Fractional positions:
Sr: 0.5000 0.5000 0.7613
Ac: 0.0000 0.0000 0.0957
La: 0.5000 0.5000 0.3753
Zn: 0.0000 0.0000 0.5524

Results
Space group: P4mm
Formation energy from the elements: -101 meV per atom
V: 146.1 Å³/f.u.

=====

Material: Ac2LaTa
Method: DFT, GGA-PBE
State: optimized geometry

Lattice parameters (Å, degrees): 3.5034 3.5034 12.8802 82.18 82.18 60.00
Fractional positions:
Ac: 0.0794 0.0794 0.7619
Ac: 0.9206 0.9206 0.2381
La: 0.5000 0.5000 0.5000
Ta: 0.0000 0.0000 0.0000

Results
Space group: R-3m
Formation energy from the elements: 881 meV per atom
V: 135.2 Å³/f.u.

=====

Material: Ac2La2Tb
Method: DFT, GGA-PBE
State: optimized geometry

Lattice parameters (Å, degrees): 6.2863 6.2863 6.8850 117.16 117.16 90.00
Fractional positions:
Ac: 0.3466 0.3466 0.6931
Ac: 0.6534 0.6534 0.3069
La: 0.7500 0.2500 0.5000
La: 0.2500 0.7500 0.5000
Tb: 0.0000 0.0000 0.0000

Results
Space group: I4/mmm
Energy above the most stable polymorph in this dataset: 126 meV per atom
Formation energy from the elements: 548 meV per atom
V: 207.8 Å³/f.u.

=====

Material: AcLaTb14
Method: DFT, GGA-PBE
State: optimized geometry

Lattice parameters (Å, degrees): 7.3109 7.3109 11.5202 90.00 90.00 119.64
Fractional positions:
Ac: 0.1642 0.8358 0.0000
La: 0.6646 0.3354 0.0000
Tb: 0.6663 0.3337 0.5000
Tb: 0.1662 0.8338 0.5000
Tb: 0.1675 0.3342 0.0000
Tb: 0.1660 0.3342 0.5000
Tb: 0.6658 0.8325 0.0000
Tb: 0.6658 0.8340 0.5000
Tb: 0.3350 0.1682 0.7432
Tb: 0.3350 0.1682 0.2568
Tb: 0.8318 0.6650 0.7432
Tb: 0.8318 0.6650 0.2568
Tb: 0.8346 0.1654 0.7476
Tb: 0.8346 0.1654 0.2524
Tb: 0.3353 0.6647 0.7457
Tb: 0.3353 0.6647 0.2543

Results
Space group: Amm2
Formation energy from the elements: 30 meV per atom
V: 535.1 Å³/f.u.

=====

Material: Ac4La6Tb
Method: DFT, GGA-PBE
State: optimized geometry

Lattice parameters (Å, degrees): 9.8948 9.8948 9.8948 61.84 137.39 137.39
Fractional positions:
Ac: 0.0000 0.6278 0.0081
Ac: 0.3802 0.3722 0.3722
Ac: 0.0000 0.0081 0.6278
Ac: 0.6198 0.9919 0.9919
La: 0.0000 0.7718 0.4333
La: 0.0000 0.4333 0.7718
La: 0.3385 0.5667 0.5667
La: 0.5000 0.5000 0.0000
La: 0.6615 0.2282 0.2282
La: 0.5000 0.0000 0.5000
Tb: 0.0000 0.0000 0.0000

Results
Space group: I-42m
Formation energy from the elements: 209 meV per atom
V: 438.9 Å³/f.u.

=====

Material: Ac4La5Tb
Method: DFT, GGA-PBE
State: optimized geometry

Lattice parameters (Å, degrees): 5.4536 8.9879 10.2268 118.76 105.46 90.00
Fractional positions:
Ac: 0.3245 0.5725 0.6490
Ac: 0.9729 0.7210 0.9459
Ac: 0.6755 0.4275 0.3510
Ac: 0.0271 0.2790 0.0541
La: 0.8213 0.2666 0.6426
La: 0.8380 0.8812 0.6760
La: 0.1620 0.1188 0.3240
La: 0.5000 0.5000 0.0000
La: 0.1787 0.7334 0.3574
Tb: 0.5000 0.0000 0.0000

Results
Space group: C2/m
Energy above the most stable polymorph in this dataset: 0 meV per atom
Formation energy from the elements: 241 meV per atom
V: 418.6 Å³/f.u.

=====

Material: Ac3La3Tb
Method: DFT, GGA-PBE
State: optimized geometry

Lattice parameters (Å, degrees): 6.1642 10.2561 10.2562 120.00 90.00 90.00
Fractional positions:
Ac: 0.7500 0.9055 0.3755
Ac: 0.7500 0.4701 0.0945
Ac: 0.7500 0.6245 0.5300
Ac: 0.2500 0.0945 0.6245
Ac: 0.2500 0.5299 0.9055
Ac: 0.2500 0.3755 0.4700
La: 0.7500 0.7655 0.9538
La: 0.7500 0.1884 0.2346
La: 0.7500 0.0462 0.8116
La: 0.2500 0.2345 0.0462
La: 0.2500 0.8116 0.7654
La: 0.2500 0.9538 0.1884
Tb: 0.7500 0.3334 0.6667
Tb: 0.2500 0.6666 0.3333

Results
Space group: P6_3/m
Formation energy from the elements: 47 meV per atom
V: 280.8 Å³/f.u.